Crystalline La3ZnSi2 at its relaxed geometry. Source: Alexandria via LeMat-Bulk, functional PBE-GGA.

Geometry as POSCAR:
```
La3ZnSi2
1.0
12.233 0.000 0.000
0.000 4.317 0.000
0.000 0.000 11.942
La Zn Si
12 4 8
Direct
0.059 0.250 0.114
0.123 0.750 0.564
0.197 0.250 0.794
0.303 0.750 0.294
0.377 0.250 0.064
0.441 0.750 0.614
0.559 0.250 0.386
0.623 0.750 0.936
0.697 0.250 0.706
0.803 0.750 0.206
0.877 0.250 0.436
0.941 0.750 0.886
0.136 0.250 0.362
0.364 0.750 0.862
0.636 0.250 0.138
0.864 0.750 0.638
0.034 0.750 0.317
0.197 0.750 0.988
0.303 0.250 0.488
0.466 0.250 0.817
0.534 0.750 0.183
0.697 0.750 0.512
0.803 0.250 0.012
0.966 0.250 0.683
```

Results
calculated volume = 157.68 Å³/f.u.
ΔE_f (raw) = -3.506 eV/f.u.
space group = Pnma (62)
total magnetization = 2.24 μB/cell

Crystalline CsAlS2Cl at its relaxed geometry. Source: Alexandria via LeMat-Bulk, functional PBE-GGA.

Geometry as POSCAR:
```
CsAlS2Cl
1.0
4.702 0.000 0.000
0.000 4.702 0.000
0.000 0.000 5.546
Cs Al S Cl
1 1 2 1
Direct
0.000 0.000 0.000
0.500 0.500 0.500
0.000 0.500 0.500
0.500 0.000 0.500
0.500 0.500 0.000
```

Results
calculated volume = 122.62 Å³/f.u.
ΔE_f (raw) = -4.532 eV/f.u.
E above lowest polymorph = 0 meV per atom
space group = P4/mmm (123)
total magnetization = 0.37 μB/cell

Crystalline Ag4Pd4Au3 at its relaxed geometry. Source: Alexandria via LeMat-Bulk, functional PBE-GGA.

Geometry as POSCAR:
```
Ag4Pd4Au3
1.0
5.951 -3.885 0.000
5.951 3.885 0.000
-1.787 0.000 4.268
Ag Pd Au
4 4 3
Direct
0.182 0.818 0.000
0.368 0.368 0.868
0.632 0.632 0.132
0.818 0.182 0.000
0.096 0.434 0.265
0.434 0.096 0.265
0.566 0.904 0.735
0.904 0.566 0.735
0.123 0.123 0.622
0.500 0.500 0.500
0.877 0.877 0.378
```

Results
calculated volume = 197.36 Å³/f.u.
formation energy from the elements = 0.71 eV/f.u.
space group = C2/m (12)
total magnetization = 0.00 μB/cell

Crystalline Ca3Mg4Cd2 at its relaxed geometry. Source: Alexandria via LeMat-Bulk, functional PBE-GGA.

Geometry as POSCAR:
```
Ca3Mg4Cd2
1.0
5.740 -2.596 0.000
5.740 2.596 0.000
-4.730 0.000 8.366
Ca Mg Cd
3 4 2
Direct
0.000 0.000 0.000
0.336 0.336 0.332
0.664 0.664 0.668
0.066 0.066 0.395
0.284 0.284 0.945
0.716 0.716 0.055
0.934 0.934 0.605
0.387 0.387 0.719
0.613 0.613 0.281
```

Results
calculated volume = 249.39 Å³/f.u.
formation energy from the elements = -1.42 eV/f.u.
space group = C2/m (12)
total magnetization = 0.00 μB/cell

Crystalline FeHg2Ir at its relaxed geometry. Source: Alexandria via LeMat-Bulk, functional PBE-GGA.

Geometry as POSCAR:
```
FeHg2Ir
1.0
1.508 -2.470 0.000
1.508 2.470 0.000
0.000 0.000 9.377
Fe Hg Ir
1 2 1
Direct
0.000 0.000 0.000
0.500 0.500 0.244
0.500 0.500 0.756
0.000 0.000 0.500
```

Results
calculated volume = 69.85 Å³/f.u.
formation energy from the elements = 2.31 eV/f.u.
E above lowest polymorph = 294 meV per atom
space group = Cmmm (65)
total magnetization = 2.78 μB/cell

Crystalline EuErGePt at its relaxed geometry. Source: Alexandria via LeMat-Bulk, functional PBE-GGA.

Geometry as POSCAR:
```
EuErGePt
1.0
0.000 3.574 3.574
3.574 0.000 3.574
3.574 3.574 0.000
Eu Er Ge Pt
1 1 1 1
Direct
0.000 0.000 0.000
0.500 0.500 0.500
0.750 0.750 0.750
0.250 0.250 0.250
```

Results
calculated volume = 91.30 Å³/f.u.
formation energy from the elements = -3.20 eV/f.u.
space group = F-43m (216)
total magnetization = 6.75 μB/cell

Crystalline KHfIr2 at its relaxed geometry. Source: Alexandria via LeMat-Bulk, functional PBE-GGA.

Geometry as POSCAR:
```
KHfIr2
1.0
-3.796 3.796 2.955
3.796 -3.796 2.955
3.796 3.796 -2.955
K Hf Ir
2 2 4
Direct
0.000 0.000 0.000
0.750 0.250 0.500
0.250 0.750 0.500
0.500 0.500 0.000
0.165 0.625 0.040
0.375 0.415 0.540
0.585 0.125 0.960
0.875 0.835 0.460
```

Results
calculated volume = 85.17 Å³/f.u.
formation energy from the elements = 2.06 eV/f.u.
E above lowest polymorph = 186 meV per atom
space group = I-42d (122)
total magnetization = 0.00 μB/cell

Crystalline LaRe at its relaxed geometry. Source: Alexandria via LeMat-Bulk, functional PBE-GGA.

Geometry as POSCAR:
```
LaRe
1.0
0.000 2.997 2.997
2.997 0.000 2.997
2.997 2.997 0.000
La Re
1 1
Direct
0.000 0.000 0.000
0.500 0.500 0.500
```

Results
calculated volume = 53.85 Å³/f.u.
formation energy from the elements = 2.79 eV/f.u.
E above lowest polymorph = 1242 meV per atom
space group = Fm-3m (225)
total magnetization = 2.05 μB/cell

Crystalline YNiPb at its relaxed geometry. Source: Alexandria via LeMat-Bulk, functional PBE-GGA.

Geometry as POSCAR:
```
YNiPb
1.0
4.513 0.000 0.000
0.000 4.509 0.000
-0.068 0.000 6.713
Y Ni Pb
2 2 2
Direct
0.246 0.250 0.223
0.754 0.750 0.777
0.258 0.750 0.500
0.742 0.250 0.500
0.250 0.250 0.733
0.750 0.750 0.267
```

Results
calculated volume = 68.30 Å³/f.u.
formation energy from the elements = -1.18 eV/f.u.
space group = P2_1/m (11)
total magnetization = 0.00 μB/cell

Crystalline Tb5CeNd2Ho at its relaxed geometry. Source: Alexandria via LeMat-Bulk, functional PBE-GGA.

Geometry as POSCAR:
```
Tb5CeNd2Ho
1.0
-4.286 4.286 7.915
4.286 -4.286 7.915
4.286 4.286 -7.915
Tb Ce Nd Ho
10 2 4 2
Direct
0.000 0.000 0.000
0.060 0.560 0.905
0.155 0.060 0.500
0.345 0.845 0.905
0.440 0.345 0.500
0.500 0.500 0.000
0.560 0.655 0.500
0.655 0.155 0.095
0.845 0.940 0.500
0.940 0.440 0.095
0.250 0.750 0.500
0.750 0.250 0.500
0.122 0.378 0.500
0.378 0.878 0.256
0.622 0.122 0.744
0.878 0.622 0.500
0.250 0.250 0.000
0.750 0.750 0.000
```

Results
calculated volume = 290.84 Å³/f.u.
formation energy from the elements = 2.41 eV/f.u.
space group = I4/mcm (140)
total magnetization = 1.81 μB/cell

Crystalline PuMgPbAu at its relaxed geometry. Source: Alexandria via LeMat-Bulk, functional PBE-GGA.

Geometry as POSCAR:
```
PuMgPbAu
1.0
0.000 3.639 3.639
3.639 0.000 3.639
3.639 3.639 0.000
Pu Mg Pb Au
1 1 1 1
Direct
0.000 0.000 0.000
0.500 0.500 0.500
0.750 0.750 0.750
0.250 0.250 0.250
```

Results
calculated volume = 96.36 Å³/f.u.
formation energy from the elements = -1.15 eV/f.u.
space group = F-43m (216)
total magnetization = 5.44 μB/cell

Crystalline La6Tb2PmTm at its relaxed geometry. Source: Alexandria via LeMat-Bulk, functional PBE-GGA.

Geometry as POSCAR:
```
La6Tb2PmTm
1.0
4.928 -7.662 0.000
4.928 7.662 0.000
-0.265 0.000 9.251
La Tb Pm Tm
12 4 2 2
Direct
0.036 0.473 0.680
0.067 0.783 0.902
0.217 0.933 0.598
0.277 0.572 0.088
0.428 0.723 0.412
0.473 0.036 0.180
0.527 0.964 0.820
0.572 0.277 0.588
0.723 0.428 0.912
0.783 0.067 0.402
0.933 0.217 0.098
0.964 0.527 0.320
0.207 0.298 0.435
0.298 0.207 0.935
0.702 0.793 0.065
0.793 0.702 0.565
0.074 0.926 0.250
0.926 0.074 0.750
0.438 0.562 0.750
0.562 0.438 0.250
```

Results
calculated volume = 349.35 Å³/f.u.
formation energy from the elements = 1.12 eV/f.u.
space group = C2/c (15)
total magnetization = 0.00 μB/cell

Crystalline SmPu2RuN4 at its relaxed geometry. Source: Alexandria via LeMat-Bulk, functional PBE-GGA.

Geometry as POSCAR:
```
SmPu2RuN4
1.0
1.687 -5.829 0.000
1.687 5.829 0.000
0.000 0.000 11.576
Sm Pu Ru N
2 4 2 8
Direct
0.113 0.887 0.750
0.887 0.113 0.250
0.369 0.631 0.551
0.369 0.631 0.949
0.631 0.369 0.051
0.631 0.369 0.449
0.147 0.853 0.250
0.853 0.147 0.750
0.000 0.000 0.000
0.000 0.000 0.500
0.269 0.731 0.119
0.269 0.731 0.381
0.458 0.542 0.750
0.542 0.458 0.250
0.731 0.269 0.619
0.731 0.269 0.881
```

Results
calculated volume = 113.80 Å³/f.u.
ΔE_f (raw) = -7.390 eV/f.u.
space group = Cmcm (63)
total magnetization = 16.04 μB/cell

Crystalline LaThBi at its relaxed geometry. Source: Alexandria via LeMat-Bulk, functional PBE-GGA.

Geometry as POSCAR:
```
LaThBi
1.0
2.842 1.641 7.915
-2.842 1.641 7.915
0.000 -3.282 7.915
La Th Bi
2 2 2
Direct
0.082 0.082 0.082
0.918 0.918 0.918
0.359 0.359 0.359
0.641 0.641 0.641
0.225 0.225 0.225
0.775 0.775 0.775
```

Results
calculated volume = 110.75 Å³/f.u.
formation energy from the elements = -0.68 eV/f.u.
E above lowest polymorph = 161 meV per atom
space group = R-3m (166)
total magnetization = 1.97 μB/cell

Crystalline HfNp3Tl3Se8 at its relaxed geometry. Source: Alexandria via LeMat-Bulk, functional PBE-GGA.

Geometry as POSCAR:
```
HfNp3Tl3Se8
1.0
7.128 -4.113 0.000
7.128 4.113 0.000
-4.758 0.000 7.871
Hf Np Tl Se
1 3 3 8
Direct
0.000 0.000 0.000
0.000 0.500 0.000
0.500 0.000 0.000
0.500 0.500 0.000
0.000 0.000 0.500
0.000 0.500 0.500
0.500 0.000 0.500
0.223 0.223 0.197
0.223 0.752 0.197
0.248 0.777 0.803
0.265 0.265 0.795
0.735 0.735 0.205
0.752 0.223 0.197
0.777 0.248 0.803
0.777 0.777 0.803
```

Results
calculated volume = 461.44 Å³/f.u.
ΔE_f (raw) = -14.806 eV/f.u.
space group = C2/m (12)
total magnetization = 12.00 μB/cell

Crystalline ZrFeBr3 at its relaxed geometry. Source: Alexandria via LeMat-Bulk, functional PBE-GGA.

Geometry as POSCAR:
```
ZrFeBr3
1.0
5.362 0.000 0.000
0.000 5.362 0.000
0.000 0.000 5.362
Zr Fe Br
1 1 3
Direct
0.000 0.000 0.000
0.500 0.500 0.500
0.000 0.000 0.500
0.000 0.500 0.000
0.500 0.000 0.000
```

Results
calculated volume = 154.13 Å³/f.u.
ΔE_f (raw) = 0.165 eV/f.u.
space group = Pm-3m (221)
total magnetization = 4.24 μB/cell

Crystalline Ho2Be4Si3Ir at its relaxed geometry. Source: Alexandria via LeMat-Bulk, functional PBE-GGA.

Geometry as POSCAR:
```
Ho2Be4Si3Ir
1.0
3.788 0.000 0.000
0.000 3.788 0.000
0.000 0.000 9.911
Ho Be Si Ir
2 4 3 1
Direct
0.000 0.500 0.246
0.500 0.000 0.754
0.000 0.000 0.000
0.000 0.500 0.637
0.500 0.000 0.363
0.500 0.500 0.000
0.000 0.500 0.867
0.500 0.000 0.133
0.500 0.500 0.500
0.000 0.000 0.500
```

Results
calculated volume = 142.23 Å³/f.u.
ΔE_f (raw) = -5.431 eV/f.u.
space group = P-4m2 (115)
total magnetization = 0.00 μB/cell

Crystalline Mg3Cu5 at its relaxed geometry. Source: Alexandria via LeMat-Bulk, functional PBE-GGA.

Geometry as POSCAR:
```
Mg3Cu5
1.0
3.492 -4.028 0.000
3.492 4.028 0.000
0.000 0.000 4.120
Mg Cu
3 5
Direct
0.000 0.000 0.000
0.268 0.732 0.500
0.732 0.268 0.500
0.000 0.500 0.000
0.242 0.242 0.500
0.500 0.000 0.000
0.500 0.500 0.000
0.758 0.758 0.500
```

Results
calculated volume = 115.91 Å³/f.u.
formation energy from the elements = -0.38 eV/f.u.
E above lowest polymorph = 15 meV per atom
space group = Cmmm (65)
total magnetization = 0.00 μB/cell

Crystalline CaLu2Au at its relaxed geometry. Source: Alexandria via LeMat-Bulk, functional PBE-GGA.

Geometry as POSCAR:
```
CaLu2Au
1.0
1.895 1.094 9.923
-1.895 1.094 9.923
0.000 -2.189 9.923
Ca Lu Au
1 2 1
Direct
0.000 0.000 0.000
0.230 0.230 0.230
0.770 0.770 0.770
0.500 0.500 0.500
```

Results
calculated volume = 123.49 Å³/f.u.
formation energy from the elements = -1.07 eV/f.u.
E above lowest polymorph = 100 meV per atom
space group = R-3m (166)
total magnetization = 0.00 μB/cell

Crystalline La4PmSmDy2 at its relaxed geometry. Source: Alexandria via LeMat-Bulk, functional PBE-GGA.

Geometry as POSCAR:
```
La4PmSmDy2
1.0
6.363 0.000 0.000
0.000 3.682 0.000
-2.124 0.000 11.831
La Pm Sm Dy
4 1 1 2
Direct
0.247 0.000 0.248
0.248 0.500 0.749
0.752 0.500 0.251
0.753 0.000 0.752
0.500 0.500 0.500
0.500 0.000 0.000
0.000 0.000 0.500
0.000 0.500 0.000
```

Results
calculated volume = 277.20 Å³/f.u.
formation energy from the elements = 0.08 eV/f.u.
space group = P2/m (10)
total magnetization = 0.00 μB/cell